Here is a geometry-optimized PmYTm2Se6 structure from Alexandria. Energies are from GGA-PBE.

Output
V: 291 Å³/cell
Formation energy without anion corrections: -1845 meV per atom

The structure in extended XYZ format:
```
10
Lattice="3.608 2.083 6.460 -3.608 2.083 6.460 0.000 -4.166 6.460" Properties=species:S:1:pos:R:3 pbc="T T T"
Pm 0.000 0.000 0.000
Y 0.000 0.000 9.619
Tm 0.000 0.000 5.810
Tm 0.000 0.000 15.544
Se -2.169 -0.128 7.678
Se -1.393 -2.143 10.900
Se 1.196 -1.814 7.678
Se -1.160 2.278 10.900
Se 0.973 1.943 7.678
Se 2.552 -0.134 10.900
```

***

Here is a geometry-optimized Pm2YTmSe6 structure from Alexandria. Energies are from GGA-PBE.

Output
V: 300 Å³/cell
Formation energy without anion corrections: -1847 meV per atom

The structure in extended XYZ format:
```
10
Lattice="3.650 2.107 6.499 -3.650 2.107 6.499 0.000 -4.214 6.499" Properties=species:S:1:pos:R:3 pbc="T T T"
Pm 0.000 0.000 0.000
Pm 0.000 0.000 9.738
Y 0.000 0.000 3.888
Tm 0.000 0.000 13.622
Se -2.647 0.125 8.513
Se -1.007 -1.949 11.780
Se 1.215 -2.355 8.513
Se -1.184 1.846 11.780
Se 1.432 2.230 8.513
Se 2.191 0.102 11.780
```

***

Here is a geometry-optimized Pm2YTmSe5 structure from Alexandria. Energies are from GGA-PBE.

Output
V: 276 Å³/cell
Formation energy without anion corrections: -1275 meV per atom

The structure in extended XYZ format:
```
9
Lattice="5.083 0.000 0.000 0.000 5.083 0.000 0.000 0.000 10.686" Properties=species:S:1:pos:R:3 pbc="T T T"
Pm 0.000 0.000 1.904
Pm 0.000 0.000 8.782
Y 2.542 2.542 5.343
Tm 2.542 2.542 0.000
Se 0.000 0.000 5.343
Se 0.000 2.542 0.000
Se 2.542 0.000 0.000
Se 2.542 2.542 2.704
Se 2.542 2.542 7.982
```

***

Here is a geometry-optimized PmY2Tm3Se6 structure from Alexandria. Energies are from GGA-PBE.

Output
V: 286 Å³/cell
Formation energy without anion corrections: -1726 meV per atom

The structure in extended XYZ format:
```
12
Lattice="8.898 -2.022 0.000 8.898 2.022 0.000 -2.017 0.000 7.953" Properties=species:S:1:pos:R:3 pbc="T T T"
Pm 0.000 0.000 0.000
Y 4.615 0.000 5.334
Y 11.164 0.000 2.619
Tm -1.008 0.000 3.976
Tm 5.640 0.000 1.324
Tm 10.138 0.000 6.628
Se 1.771 0.000 4.668
Se 2.893 0.000 0.640
Se 8.350 0.000 2.077
Se 7.429 0.000 5.876
Se 12.886 0.000 7.312
Se 14.007 0.000 3.285
```

***

What is the formation energy without anion corrections in the first record?
-1845 meV per atom

***

Which of these has the highest formation energy without anion corrections?
Pm2YTmSe5